# CaNdSiAu, relaxed, DFT PBE
data_CaNdSiAu
_chemical_formula_sum 'Ca1 Nd1 Si1 Au1'
_space_group_name_H-M_alt 'P 1'
_space_group_IT_number 1
_space_group_name_Hall 'P 1'
_cell_length_a 5.167
_cell_length_b 5.167
_cell_length_c 5.167
_cell_angle_alpha 60.00
_cell_angle_beta 60.00
_cell_angle_gamma 60.00
loop_
_atom_site_label
_atom_site_type_symbol
_atom_site_fract_x
_atom_site_fract_y
_atom_site_fract_z
_atom_site_occupancy
Ca1 Ca 0.000 0.000 0.000 1
Nd1 Nd 0.500 0.500 0.500 1
Si1 Si 0.750 0.750 0.750 1
Au1 Au 0.250 0.250 0.250 1
# Raw formation energy: -0.641 eV/atom

=====

# NbFe2PtN, relaxed, DFT PBE
data_NbFe2PtN
_chemical_formula_sum 'Nb1 Fe2 Pt1 N1'
_space_group_name_H-M_alt 'P 1'
_space_group_IT_number 1
_space_group_name_Hall 'P 1'
_cell_length_a 3.894
_cell_length_b 3.894
_cell_length_c 4.192
_cell_angle_alpha 90.00
_cell_angle_beta 90.00
_cell_angle_gamma 90.00
loop_
_atom_site_label
_atom_site_type_symbol
_atom_site_fract_x
_atom_site_fract_y
_atom_site_fract_z
_atom_site_occupancy
Nb1 Nb 0.000 0.000 0.000 1
Fe1 Fe 0.000 0.500 0.500 1
Fe2 Fe 0.500 0.000 0.500 1
Pt1 Pt 0.500 0.500 0.000 1
N1 N 0.000 0.000 0.500 1
# Raw formation energy: -0.369 eV/atom

=====

# Dy2Y6Zn, relaxed, DFT PBE
data_Dy2Y6Zn
_chemical_formula_sum 'Dy4 Y12 Zn2'
_space_group_name_H-M_alt 'P 1'
_space_group_IT_number 1
_space_group_name_Hall 'P 1'
_cell_length_a 9.959
_cell_length_b 10.178
_cell_length_c 5.366
_cell_angle_alpha 90.00
_cell_angle_beta 90.00
_cell_angle_gamma 90.00
loop_
_atom_site_label
_atom_site_type_symbol
_atom_site_fract_x
_atom_site_fract_y
_atom_site_fract_z
_atom_site_occupancy
Dy1 Dy 0.204 0.231 0.000 1
Dy2 Dy 0.296 0.731 0.500 1
Dy3 Dy 0.704 0.269 0.500 1
Dy4 Dy 0.796 0.769 0.000 1
Y1 Y 0.030 0.313 0.500 1
Y2 Y 0.128 0.887 0.000 1
Y3 Y 0.186 0.556 0.000 1
Y4 Y 0.314 0.056 0.500 1
Y5 Y 0.372 0.387 0.500 1
Y6 Y 0.470 0.813 0.000 1
Y7 Y 0.530 0.187 0.000 1
Y8 Y 0.628 0.613 0.500 1
Y9 Y 0.686 0.944 0.500 1
Y10 Y 0.814 0.444 0.000 1
Y11 Y 0.872 0.113 0.000 1
Y12 Y 0.970 0.687 0.500 1
Zn1 Zn 0.000 0.000 0.500 1
Zn2 Zn 0.500 0.500 0.000 1
# E_form: 0.02 eV per atom

=====

# Co2Cu2P, relaxed, DFT PBE
data_Co2Cu2P
_chemical_formula_sum 'Co4 Cu4 P2'
_space_group_name_H-M_alt 'P 1'
_space_group_IT_number 1
_space_group_name_Hall 'P 1'
_cell_length_a 5.495
_cell_length_b 5.495
_cell_length_c 4.004
_cell_angle_alpha 90.00
_cell_angle_beta 90.00
_cell_angle_gamma 90.00
loop_
_atom_site_label
_atom_site_type_symbol
_atom_site_fract_x
_atom_site_fract_y
_atom_site_fract_z
_atom_site_occupancy
Co1 Co 0.147 0.353 0.000 1
Co2 Co 0.353 0.853 0.000 1
Co3 Co 0.647 0.147 0.000 1
Co4 Co 0.853 0.647 0.000 1
Cu1 Cu 0.161 0.661 0.500 1
Cu2 Cu 0.339 0.161 0.500 1
Cu3 Cu 0.661 0.839 0.500 1
Cu4 Cu 0.839 0.339 0.500 1
P1 P 0.000 0.000 0.000 1
P2 P 0.500 0.500 0.000 1
# E_form: -0.06 eV per atom

=====

# La3CeSn4, relaxed, DFT PBE
data_La3CeSn4
_chemical_formula_sum 'La3 Ce1 Sn4'
_space_group_name_H-M_alt 'P 1'
_space_group_IT_number 1
_space_group_name_Hall 'P 1'
_cell_length_a 10.170
_cell_length_b 10.170
_cell_length_c 10.170
_cell_angle_alpha 158.06
_cell_angle_beta 137.56
_cell_angle_gamma 48.28
loop_
_atom_site_label
_atom_site_type_symbol
_atom_site_fract_x
_atom_site_fract_y
_atom_site_fract_z
_atom_site_occupancy
La1 La 0.000 0.000 0.000 1
La2 La 0.289 0.789 0.500 1
La3 La 0.711 0.211 0.500 1
Ce1 Ce 0.500 0.500 0.000 1
Sn1 Sn 0.076 0.372 0.705 1
Sn2 Sn 0.333 0.628 0.705 1
Sn3 Sn 0.667 0.372 0.295 1
Sn4 Sn 0.924 0.628 0.295 1
# E_form: -0.56 eV per atom

=====

# PrTmPdAu, relaxed, DFT PBE
data_PrTmPdAu
_chemical_formula_sum 'Pr1 Tm1 Pd1 Au1'
_space_group_name_H-M_alt 'P 1'
_space_group_IT_number 1
_space_group_name_Hall 'P 1'
_cell_length_a 4.763
_cell_length_b 5.689
_cell_length_c 5.689
_cell_angle_alpha 39.17
_cell_angle_beta 90.00
_cell_angle_gamma 90.00
loop_
_atom_site_label
_atom_site_type_symbol
_atom_site_fract_x
_atom_site_fract_y
_atom_site_fract_z
_atom_site_occupancy
Pr1 Pr 0.000 0.000 0.000 1
Tm1 Tm 0.500 0.276 0.276 1
Pd1 Pd 0.000 0.728 0.728 1
Au1 Au 0.500 0.559 0.559 1
# Distance to the lowest polymorph of the same formula: 0.000 eV/atom
# E_form: -0.84 eV per atom